Material: Be4Br5
Method: DFT, PBE
State: relaxed

energy relative to the elements, uncorrected = 0.328 eV per atom

The structure in CIF format:
```
data_Be4Br5
_cell_length_a 7.9581
_cell_length_b 7.9581
_cell_length_c 6.5989
_cell_angle_alpha 90.00
_cell_angle_beta 90.00
_cell_angle_gamma 120.00
_space_group_name_H-M_alt 'P 63/m c m'
_space_group_IT_number 193
_space_group_name_Hall '-P 6c 2'
loop_
_atom_site_label
_atom_site_type_symbol
_atom_site_fract_x
_atom_site_fract_y
_atom_site_fract_z
_atom_site_occupancy
Be1 Be 0.0000 0.0000 0.0000 1
Be2 Be 0.0000 0.4832 0.2500 1
Br1 Br 0.0000 0.2317 0.7500 1
Br2 Br 0.3333 0.6667 0.0000 1
```